Entry 1:
## HoSc8Sn2 (PBE-GGA)

Data for a relaxed HoSc8Sn2 crystal.

POSCAR file:
```
HoSc8Sn2
1.0
-0.433 4.518 -2.876
-7.651 -3.015 0.232
3.743 2.346 6.941
Sc Sn Ho
8 2 1
direct
0.292 0.578 0.578 Sc
0.708 0.422 0.422 Sc
0.500 0.214 0.786 Sc
0.855 0.671 0.903 Sc
0.145 0.097 0.329 Sc
0.500 0.786 0.214 Sc
0.855 0.903 0.671 Sc
0.145 0.329 0.097 Sc
0.000 0.308 0.692 Sn
0.000 0.692 0.308 Sn
0.500 0.000 0.000 Ho
```

Summary:
Crystal system   monoclinic
Magnetic moment   0.00 μB per atom
Electronic total energy   -5.884 eV/atom
Formation enthalpy at 0 K   -0.135 eV per atom
Density of states at the Fermi level   16.5 states/eV/cell

---

Entry 2:
## La6AlTl2 (PBE-GGA)

Data for a relaxed La6AlTl2 crystal.

POSCAR file:
```
La6AlTl2
1.0
-4.040 1.033 -2.145
-4.355 -3.262 6.634
2.152 8.305 -0.053
Al La Tl
1 6 2
direct
0.500 0.000 0.000 Al
0.000 0.257 0.000 La
0.000 0.743 0.743 La
0.500 0.406 0.406 La
0.500 0.594 0.000 La
0.500 0.000 0.594 La
0.000 0.000 0.257 La
0.000 0.667 0.333 Tl
0.000 0.333 0.667 Tl
```

Summary:
Crystal system   hexagonal
Magnetic moment   0.02 μB per atom
Electronic total energy   -4.508 eV/atom
Formation enthalpy at 0 K   -0.282 eV per atom
Density of states at the Fermi level   12.9 states/eV/cell

---

Entry 3:
## HfTa2TiPt (PBE-GGA)

Data for a relaxed HfTa2TiPt crystal.

POSCAR file:
```
HfTa2TiPt
1.0
-1.330 4.164 1.629
1.433 -1.234 4.323
4.241 1.713 -0.917
Ti Hf Ta Pt
1 1 2 1
direct
0.000 0.000 0.000 Ti
0.500 0.500 0.500 Hf
0.000 0.000 0.500 Ta
0.500 0.000 0.000 Ta
0.000 0.500 0.000 Pt
```

Summary:
Crystal system   tetragonal
Magnetic moment   0.00 μB per atom
Electronic total energy   -8.721 eV/atom
Formation enthalpy at 0 K   0.798 eV per atom
Density of states at the Fermi level   6.3 states/eV/cell

---

Entry 4:
## Pm5In3 (PBE-GGA)

Data for a relaxed Pm5In3 crystal.

POSCAR file:
```
Pm5In3
1.0
5.081 0.000 0.000
0.000 6.851 -0.202
0.000 -0.448 6.839
Pm In
5 3
direct
0.500 0.270 0.270 Pm
0.000 0.500 0.000 Pm
0.500 0.730 0.730 Pm
0.000 0.000 0.500 Pm
0.000 0.000 0.000 Pm
0.500 0.769 0.231 In
0.500 0.231 0.769 In
0.000 0.500 0.500 In
```

Summary:
Crystal system   orthorhombic
Magnetic moment   0.00 μB per atom
Electronic total energy   -4.339 eV/atom
Formation enthalpy at 0 K   -0.343 eV per atom
Density of states at the Fermi level   8.2 states/eV/cell

---

Entry 5:
## HoTh5Ge6 (PBE-GGA)

Data for a relaxed HoTh5Ge6 crystal.

POSCAR file:
```
HoTh5Ge6
1.0
7.317 0.179 1.112
1.799 6.209 3.620
0.124 0.068 7.404
Th Ge Ho
5 6 1
direct
0.500 0.168 0.664 Th
0.500 0.832 0.336 Th
0.500 0.500 0.000 Th
0.000 0.334 0.333 Th
0.000 0.666 0.667 Th
0.247 0.588 0.330 Ge
0.247 0.918 0.670 Ge
0.753 0.082 0.330 Ge
0.753 0.412 0.670 Ge
0.248 0.247 0.000 Ge
0.752 0.753 0.000 Ge
0.000 0.000 0.000 Ho
```

Summary:
Crystal system   monoclinic
Magnetic moment   0.00 μB per atom
Electronic total energy   -6.537 eV/atom
Formation enthalpy at 0 K   -0.755 eV per atom
Density of states at the Fermi level   6.3 states/eV/cell

---

Entry 6:
## RbBeBr2 (PBE-GGA)

Data for a relaxed RbBeBr2 crystal.

POSCAR file:
```
RbBeBr2
1.0
5.348 3.042 4.165
6.641 -2.331 2.382
6.995 2.123 -1.327
Br Rb Be
2 1 1
direct
0.896 0.896 0.896 Br
0.104 0.104 0.104 Br
0.500 0.500 0.500 Rb
0.000 0.000 0.000 Be
```

Summary:
Crystal system   trigonal
Magnetic moment   0.16 μB per atom
Electronic total energy   -2.545 eV/atom
Density of states at the Fermi level   2.3 states/eV/cell
ΔE to the lowest computed polymorph   169 meV/atom

---

Entry 7:
## CeNd8In2 (PBE-GGA)

Data for a relaxed CeNd8In2 crystal.

POSCAR file:
```
CeNd8In2
1.0
-1.849 1.276 -6.023
9.641 -2.742 1.032
5.672 -8.258 1.082
Nd Ce In
8 1 2
direct
0.270 0.149 0.654 Nd
0.718 0.783 0.783 Nd
0.730 0.346 0.851 Nd
0.730 0.851 0.346 Nd
0.245 0.584 0.584 Nd
0.755 0.416 0.416 Nd
0.270 0.654 0.149 Nd
0.282 0.217 0.217 Nd
0.000 0.000 0.000 Ce
0.834 0.259 0.259 In
0.166 0.741 0.741 In
```

Summary:
Crystal system   monoclinic
Magnetic moment   0.00 μB per atom
Electronic total energy   -4.543 eV/atom
Formation enthalpy at 0 K   -0.038 eV per atom
Density of states at the Fermi level   20.9 states/eV/cell

---

Entry 8:
## PrGaCl (PBE-GGA)

Data for a relaxed PrGaCl crystal.

POSCAR file:
```
PrGaCl
1.0
-0.092 -4.026 -1.302
3.573 -2.268 -0.118
-0.594 -5.369 9.765
Cl Pr Ga
2 2 2
direct
0.717 0.720 0.847 Cl
0.283 0.280 0.153 Cl
0.434 0.435 0.698 Pr
0.566 0.565 0.302 Pr
0.157 0.158 0.528 Ga
0.843 0.842 0.472 Ga
```

Summary:
Crystal system   monoclinic
Magnetic moment   0.00 μB per atom
Electronic total energy   -4.628 eV/atom
Density of states at the Fermi level   1.9 states/eV/cell

---

Entry 9:
## BaEuSn4O12 (PBE-GGA)

Data for a relaxed BaEuSn4O12 crystal.

POSCAR file:
```
BaEuSn4O12
1.0
4.067 -4.071 0.000
4.067 4.071 0.000
0.000 0.000 8.274
Sn O Ba Eu
4 12 1 1
direct
0.000 0.500 0.249 Sn
0.000 0.500 0.751 Sn
0.500 0.000 0.249 Sn
0.500 0.000 0.751 Sn
0.000 0.500 0.500 O
0.206 0.206 0.722 O
0.500 0.000 0.500 O
0.500 0.000 0.000 O
0.281 0.719 0.257 O
0.281 0.719 0.743 O
0.000 0.500 0.000 O
0.794 0.794 0.722 O
0.206 0.206 0.278 O
0.719 0.281 0.257 O
0.794 0.794 0.278 O
0.719 0.281 0.743 O
0.500 0.500 0.000 Ba
0.000 0.000 0.500 Eu
```

Summary:
Crystal system   orthorhombic
Magnetic moment   0.16 μB per atom
Electronic total energy   -6.369 eV/atom
Density of states at the Fermi level   14.9 states/eV/cell

---

Entry 10:
## Cs2RbInF (PBE-GGA)

Data for a relaxed Cs2RbInF crystal.

POSCAR file:
```
Cs2RbInF
1.0
-2.662 -4.942 2.477
1.115 -3.173 -5.132
5.179 -1.699 2.175
Cs In F Rb
2 1 1 1
direct
0.000 0.500 0.000 Cs
0.500 0.000 0.000 Cs
0.500 0.500 0.500 In
0.000 0.000 0.000 F
0.000 0.000 0.500 Rb
```

Summary:
Crystal system   tetragonal
Magnetic moment   0.00 μB per atom
Electronic total energy   -2.432 eV/atom
Density of states at the Fermi level   4.5 states/eV/cell

---

Entry 11:
## YErPd (PBE-GGA)

Data for a relaxed YErPd crystal.

POSCAR file:
```
YErPd
1.0
-4.229 1.359 -2.004
-4.208 -1.191 2.148
-2.709 3.445 2.129
Y Er Pd
1 1 1
direct
0.000 0.000 0.000 Y
0.500 0.500 0.500 Er
0.250 0.250 0.250 Pd
```

Summary:
Crystal system   cubic
Magnetic moment   0.00 μB per atom
Electronic total energy   -5.889 eV/atom
Formation enthalpy at 0 K   -0.483 eV per atom
Density of states at the Fermi level   3.4 states/eV/cell
ΔE to the lowest computed polymorph   82 meV/atom

---

Entry 12:
## SmTl2CuBr6 (PBE-GGA)

Data for a relaxed SmTl2CuBr6 crystal.

POSCAR file:
```
SmTl2CuBr6
1.0
6.936 0.000 -0.006
0.000 7.558 0.000
-2.832 -3.779 6.794
Br Sm Tl Cu
6 1 2 1
direct
0.702 0.302 0.604 Br
0.216 0.698 0.866 Br
0.216 0.169 0.866 Br
0.784 0.831 0.134 Br
0.784 0.302 0.134 Br
0.298 0.698 0.396 Br
0.000 0.500 0.000 Sm
0.193 0.243 0.486 Tl
0.807 0.757 0.514 Tl
0.500 0.000 0.000 Cu
```

Summary:
Crystal system   monoclinic
Magnetic moment   0.00 μB per atom
Electronic total energy   -3.449 eV/atom
Density of states at the Fermi level   0.0 states/eV/cell

---

Entry 13:
## LuMnNbRu (PBE-GGA)

Data for a relaxed LuMnNbRu crystal.

POSCAR file:
```
LuMnNbRu
1.0
4.538 0.000 0.000
2.269 3.930 0.000
2.269 1.310 3.706
Lu Nb Mn Ru
1 1 1 1
direct
0.500 0.500 0.500 Lu
0.000 0.000 0.000 Nb
0.750 0.750 0.750 Mn
0.250 0.250 0.250 Ru
```

Summary:
Crystal system   cubic
Magnetic moment   0.12 μB per atom
Electronic total energy   -8.388 eV/atom
Formation enthalpy at 0 K   -0.129 eV per atom
Density of states at the Fermi level   3.9 states/eV/cell

---

Entry 14:
## Ac2Mg3Zn (PBE-GGA)

Data for a relaxed Ac2Mg3Zn crystal.

POSCAR file:
```
Ac2Mg3Zn
1.0
5.500 -0.168 -2.890
-3.499 5.131 -0.261
-0.226 0.159 6.227
Mg Ac Zn
3 2 1
direct
0.000 0.000 0.500 Mg
0.500 0.500 0.500 Mg
0.500 0.000 0.500 Mg
0.253 0.627 0.880 Ac
0.747 0.373 0.120 Ac
0.000 0.000 0.000 Zn
```

Summary:
Crystal system   monoclinic
Magnetic moment   0.00 μB per atom
Electronic total energy   -2.519 eV/atom
Formation enthalpy at 0 K   -0.140 eV per atom
Density of states at the Fermi level   3.7 states/eV/cell

---

Entry 15:
## Cu2Ag4Cl9 (PBE-GGA)

Data for a relaxed Cu2Ag4Cl9 crystal.

POSCAR file:
```
Cu2Ag4Cl9
1.0
6.749 0.373 0.702
3.741 6.196 0.938
2.006 1.814 19.241
Cl Ag Cu
18 8 4
direct
0.429 0.850 0.897 Cl
0.929 0.425 0.414 Cl
0.325 0.972 0.574 Cl
0.071 0.575 0.586 Cl
0.643 0.253 0.883 Cl
0.027 0.726 0.960 Cl
0.307 0.662 0.729 Cl
0.739 0.273 0.595 Cl
0.571 0.150 0.103 Cl
0.357 0.747 0.117 Cl
0.069 0.246 0.776 Cl
0.973 0.274 0.040 Cl
0.693 0.338 0.271 Cl
0.931 0.754 0.224 Cl
0.263 0.070 0.271 Cl
0.737 0.930 0.729 Cl
0.675 0.028 0.426 Cl
0.261 0.727 0.405 Cl
0.301 0.346 0.484 Ag
0.349 0.263 0.986 Ag
0.651 0.737 0.014 Ag
0.639 0.702 0.322 Ag
0.641 0.624 0.789 Ag
0.359 0.376 0.211 Ag
0.361 0.298 0.678 Ag
0.699 0.654 0.516 Ag
0.962 0.051 0.346 Cu
0.038 0.949 0.654 Cu
0.960 0.983 0.119 Cu
0.040 0.017 0.881 Cu
```

Summary:
Crystal system   triclinic
Magnetic moment   0.02 μB per atom
Electronic total energy   -2.842 eV/atom
Density of states at the Fermi level   13.8 states/eV/cell

---

Entry 16:
## Rb2SbCl4F2 (PBE-GGA)

Data for a relaxed Rb2SbCl4F2 crystal.

POSCAR file:
```
Rb2SbCl4F2
1.0
5.989 -0.002 -0.002
1.338 6.772 0.246
1.338 2.715 6.209
F Cl Rb Sb
2 4 2 1
direct
0.770 0.855 0.855 F
0.230 0.145 0.145 F
0.308 0.164 0.651 Cl
0.692 0.349 0.836 Cl
0.308 0.651 0.164 Cl
0.692 0.836 0.349 Cl
0.184 0.677 0.677 Rb
0.816 0.323 0.323 Rb
0.500 0.000 0.000 Sb
```

Summary:
Crystal system   monoclinic
Magnetic moment   0.00 μB per atom
Electronic total energy   -3.641 eV/atom
Density of states at the Fermi level   3.6 states/eV/cell

---

Entry 17:
## Co2CuSi (PBE-GGA)

Data for a relaxed Co2CuSi crystal.

POSCAR file:
```
Co2CuSi
1.0
8.067 -0.001 -0.001
7.652 2.555 -0.001
7.652 1.243 2.232
Co Cu Si
2 1 1
direct
0.002 0.002 0.002 Co
0.254 0.254 0.254 Co
0.498 0.498 0.498 Cu
0.746 0.746 0.746 Si
```

Summary:
Crystal system   trigonal
Magnetic moment   0.60 μB per atom
Electronic total energy   -5.915 eV/atom
Density of states at the Fermi level   4.0 states/eV/cell